P:
# TcMoN

A relaxed TcMoN crystal (GGA-PBE, Alexandria via LeMat-Bulk).

a = 2.8911 Å, b = 3.8096 Å, c = 3.8096 Å
α = 120.00°, β = 90.00°, γ = 90.00°
With the nearest neighbours (Å) after each atom.
Atoms (fractional coordinates):
Tc 0.1667 0.0000 0.0000  3 N 2.20
N 0.1668 0.6667 0.3333  3 Tc 2.20
Mo 0.6666 0.3333 0.6667  6 N 2.63, 6 Tc 2.63, 2 Mo 2.89

Its space group is P-6m2. The total magnetization comes out at 0.000 μB/atom.

***

Q:
# TcMoN

A relaxed TcMoN crystal (GGA-PBE, Alexandria via LeMat-Bulk).

a = 2.8768 Å, b = 5.1429 Å, c = 9.6238 Å
α = 90.00°, β = 90.00°, γ = 90.00°
With the nearest neighbours (Å) after each atom.
Atoms (fractional coordinates):
Tc 0.7500 0.7159 0.0105  3 N 2.16-2.18
Tc 0.7500 0.7841 0.5105  3 N 2.16-2.18
Tc 0.2500 0.2841 0.9895  3 N 2.16-2.18
Tc 0.2500 0.2159 0.4895  3 N 2.16-2.18
Mo 0.7500 0.4052 0.2454  3 N 2.03-2.15
Mo 0.2500 0.9052 0.2546  3 N 2.03-2.15
Mo 0.7500 0.0948 0.7454  3 N 2.03-2.15
Mo 0.2500 0.5948 0.7546  3 N 2.03-2.15
N 0.7500 0.0874 0.1195  3 Mo 2.03-2.15, 3 Tc 2.16-2.18
N 0.2500 0.9126 0.8805  3 Mo 2.03-2.15, 3 Tc 2.16-2.18
N 0.7500 0.4126 0.6195  3 Mo 2.03-2.15, 3 Tc 2.16-2.18
N 0.2500 0.5874 0.3805  3 Mo 2.03-2.15, 3 Tc 2.16-2.18

Its space group is Pnma. The total magnetization comes out at 0.000 μB/atom.

***

Out of the structures above, which one is the most stable? Solution: Q.